DFT (GGA-PBE) results for a relaxed Er5ScPd6 crystal.

Cell lengths 4.936, 6.762, 7.784 Å; angles 90.00, 71.60, 90.00 degrees
Atoms (fractional coordinates):
Er 0.000 0.500 0.000
Er 0.666 0.000 0.669
Pd 0.838 0.246 0.323
Er 0.333 0.500 0.334
Pd 0.162 0.754 0.677
Er 0.334 0.000 0.331
Pd 0.500 0.757 0.000
Pd 0.162 0.246 0.677
Er 0.667 0.500 0.666
Pd 0.838 0.754 0.323
Pd 0.500 0.243 0.000
Sc 0.000 0.000 0.000

Computed properties:
The formation energy comes out at -0.91 eV per atom. As for the magnetization: 0.00 μB/atom. The symmetry is P2/m (10). The calculation puts the theoretical density at 10236 kg/m3. The crystal system is monoclinic.

DFT (GGA-PBE) results for a relaxed ErScPd crystal.

Cell lengths 3.593, 4.646, 4.646 Å; angles 120.00, 90.00, 90.00 degrees
Atoms (fractional coordinates):
Pd 0.279 0.333 0.667
Sc 0.094 0.000 0.000
Er 0.627 0.667 0.333

Computed properties:
The formation energy comes out at -0.42 eV per atom. As for the magnetization: 0.00 μB/atom. The symmetry is P3m1 (156). The calculation puts the theoretical density at 7879 kg/m3. The crystal system is trigonal. The distance to the lowest polymorph of the same formula comes out at 63 kJ/mol of formula units.

DFT (GGA-PBE) results for a relaxed ErSc2Pd3 crystal.

Cell lengths 3.351, 3.351, 10.196 Å; angles 90.00, 90.00, 90.00 degrees
Atoms (fractional coordinates):
Sc 0.500 0.500 0.161
Pd 0.000 0.000 0.318
Sc 0.500 0.500 0.839
Pd 0.000 0.000 0.682
Pd 0.000 0.000 0.000
Er 0.500 0.500 0.500

Computed properties:
The formation energy comes out at -0.90 eV per atom. As for the magnetization: 0.00 μB/atom. The symmetry is P4/mmm (123). The calculation puts the theoretical density at 8363 kg/m3. The crystal system is tetragonal. The distance to the lowest polymorph of the same formula comes out at 0 kJ/mol of formula units.

DFT (GGA-PBE) results for a relaxed Er2ScPd2 crystal.

Cell lengths 4.070, 5.789, 5.789 Å; angles 66.24, 69.42, 69.42 degrees
Atoms (fractional coordinates):
Sc 0.000 0.000 0.000
Pd 0.500 0.280 0.720
Pd 0.500 0.720 0.280
Er 0.801 0.699 0.699
Er 0.199 0.301 0.301

Computed properties:
The formation energy comes out at -0.71 eV per atom. As for the magnetization: 0.00 μB/atom. The symmetry is Immm (71). The calculation puts the theoretical density at 8680 kg/m3. The crystal system is orthorhombic. The distance to the lowest polymorph of the same formula comes out at 24 kJ/mol of formula units.

DFT (GGA-PBE) results for a relaxed Er4ScPd5 crystal.

Cell lengths 3.409, 3.409, 17.583 Å; angles 90.00, 90.00, 90.00 degrees
Atoms (fractional coordinates):
Er 0.000 0.000 0.398
Pd 0.500 0.500 0.500
Pd 0.500 0.500 0.910
Sc 0.000 0.000 0.000
Er 0.000 0.000 0.602
Er 0.000 0.000 0.194
Er 0.000 0.000 0.806
Pd 0.500 0.500 0.090
Pd 0.500 0.500 0.704
Pd 0.500 0.500 0.296

Computed properties:
The formation energy comes out at -0.91 eV per atom. As for the magnetization: 0.00 μB/atom. The symmetry is P4/mmm (123). The calculation puts the theoretical density at 10123 kg/m3. The crystal system is tetragonal.

DFT (GGA-PBE) results for a relaxed ErScPd crystal.

Cell lengths 7.091, 8.498, 8.498 Å; angles 67.05, 65.34, 65.34 degrees
Atoms (fractional coordinates):
Pd 0.087 0.667 0.667
Sc 0.754 0.371 0.371
Er 0.161 0.046 0.546
Pd 0.753 0.250 0.750
Pd 0.420 0.833 0.833
Pd 0.087 0.167 0.167
Pd 0.753 0.750 0.250
Er 0.753 0.454 0.954
Er 0.345 0.250 0.750
Er 0.345 0.750 0.250
Sc 0.012 0.000 0.000
Sc 0.495 0.129 0.129
Er 0.161 0.546 0.046
Sc 0.012 0.500 0.500
Sc 0.754 0.871 0.871
Er 0.753 0.954 0.454
Pd 0.420 0.333 0.333
Sc 0.495 0.629 0.629

Computed properties:
The formation energy comes out at -0.64 eV per atom. As for the magnetization: 0.00 μB/atom. The symmetry is Amm2 (38). The calculation puts the theoretical density at 7775 kg/m3. The crystal system is orthorhombic. The distance to the lowest polymorph of the same formula comes out at 0 kJ/mol of formula units.

DFT (GGA-PBE) results for a relaxed Er2ScPd8 crystal.

Cell lengths 4.175, 6.660, 7.590 Å; angles 107.96, 105.97, 90.00 degrees
Atoms (fractional coordinates):
Pd 0.673 0.906 0.347
Pd 0.327 0.094 0.653
Pd 0.139 0.175 0.279
Pd 0.592 0.442 0.183
Pd 0.964 0.278 0.927
Er 0.217 0.666 0.435
Pd 0.408 0.558 0.817
Sc 0.500 0.000 0.000
Pd 0.861 0.825 0.721
Pd 0.036 0.722 0.073
Er 0.783 0.334 0.565

Computed properties:
The formation energy comes out at -0.77 eV per atom. As for the magnetization: 0.00 μB/atom. The symmetry is C2/m (12). The calculation puts the theoretical density at 10634 kg/m3. The crystal system is monoclinic.

DFT (GGA-PBE) results for a relaxed Er3ScPd crystal.

Cell lengths 6.964, 6.962, 7.361 Å; angles 104.27, 116.25, 105.80 degrees
Atoms (fractional coordinates):
Er 0.731 0.460 0.191
Er 0.826 0.005 0.230
Sc 0.697 0.071 0.769
Pd 0.355 0.226 0.581
Er 0.269 0.540 0.809
Er 0.225 0.404 0.230
Er 0.174 0.995 0.770
Er 0.775 0.596 0.770
Sc 0.303 0.929 0.231
Pd 0.645 0.774 0.419

Computed properties:
The formation energy comes out at -0.26 eV per atom. As for the magnetization: 0.00 μB/atom. The symmetry is C2/m (12). The calculation puts the theoretical density at 7781 kg/m3. The crystal system is monoclinic.

DFT (GGA-PBE) results for a relaxed ErSc2Pd6 crystal.

Cell lengths 3.165, 7.611, 8.092 Å; angles 118.05, 100.61, 90.00 degrees
Atoms (fractional coordinates):
Pd 0.829 0.041 0.664
Pd 0.500 0.692 0.000
Pd 0.829 0.623 0.664
Pd 0.500 0.308 0.000
Sc 0.673 0.668 0.336
Er 0.000 0.000 0.000
Sc 0.327 0.332 0.664
Pd 0.171 0.959 0.336
Pd 0.171 0.377 0.336

Computed properties:
The formation energy comes out at -0.61 eV per atom. As for the magnetization: 0.00 μB/atom. The symmetry is C2/m (12). The calculation puts the theoretical density at 8840 kg/m3. The crystal system is monoclinic.

DFT (GGA-PBE) results for a relaxed ErSc2Pd8 crystal.

Cell lengths 4.098, 6.583, 7.553 Å; angles 107.20, 105.74, 90.00 degrees
Atoms (fractional coordinates):
Pd 0.958 0.282 0.917
Pd 0.320 0.087 0.639
Pd 0.042 0.718 0.083
Sc 0.780 0.334 0.560
Sc 0.220 0.666 0.440
Pd 0.597 0.459 0.193
Pd 0.403 0.541 0.807
Pd 0.855 0.805 0.710
Er 0.500 0.000 0.000
Pd 0.145 0.195 0.290
Pd 0.680 0.913 0.361

Computed properties:
The formation energy comes out at -0.79 eV per atom. As for the magnetization: 0.00 μB/atom. The symmetry is C2/m (12). The calculation puts the theoretical density at 9863 kg/m3. The crystal system is monoclinic.

DFT (GGA-PBE) results for a relaxed ErSc3Pd crystal.

Cell lengths 3.587, 9.818, 13.352 Å; angles 90.00, 90.00, 90.00 degrees
Last column: magnetic moment on the atom in μB.
Atoms (fractional coordinates):
Pd 0.250 0.618 0.870  0.00
Sc 0.750 0.612 0.698  0.08
Pd 0.750 0.882 0.370  0.00
Sc 0.250 0.083 0.413  0.03
Sc 0.250 0.583 0.087  0.03
Er 0.750 0.842 0.979  0.13
Sc 0.750 0.112 0.802  0.08
Sc 0.750 0.917 0.587  0.03
Sc 0.750 0.145 0.227  0.02
Sc 0.250 0.855 0.773  0.02
Sc 0.750 0.417 0.913  0.03
Er 0.750 0.342 0.521  0.13
Er 0.250 0.658 0.479  0.13
Pd 0.250 0.118 0.630  0.00
Sc 0.250 0.888 0.198  0.08
Sc 0.250 0.388 0.302  0.08
Sc 0.750 0.645 0.273  0.02
Sc 0.250 0.355 0.727  0.02
Pd 0.750 0.382 0.130  0.00
Er 0.250 0.158 0.021  0.13

Computed properties:
The formation energy comes out at -0.33 eV per atom. As for the magnetization: 0.08 μB/atom. The symmetry is Pnma (62). The calculation puts the theoretical density at 5770 kg/m3. The crystal system is orthorhombic.

DFT (GGA-PBE) results for a relaxed ErScPd4 crystal.

Cell lengths 5.365, 5.365, 5.365 Å; angles 60.00, 60.00, 60.00 degrees
Atoms (fractional coordinates):
Pd 0.625 0.625 0.625
Er 0.000 0.000 0.000
Pd 0.125 0.625 0.625
Sc 0.250 0.250 0.250
Pd 0.625 0.125 0.625
Pd 0.625 0.625 0.125

Computed properties:
The formation energy comes out at -0.74 eV per atom. As for the magnetization: 0.00 μB/atom. The symmetry is F-43m (216). The calculation puts the theoretical density at 9699 kg/m3. The crystal system is cubic. The distance to the lowest polymorph of the same formula comes out at 18 kJ/mol of formula units.

DFT (GGA-PBE) results for a relaxed ErScPd4 crystal.

Cell lengths 3.995, 6.686, 16.548 Å; angles 90.00, 90.00, 90.00 degrees
Atoms (fractional coordinates):
Er 0.750 0.824 0.790
Pd 0.750 0.858 0.179
Pd 0.750 0.358 0.321
Pd 0.250 0.459 0.439
Pd 0.750 0.943 0.626
Pd 0.250 0.142 0.821
Sc 0.250 0.809 0.526
Pd 0.250 0.734 0.910
Pd 0.750 0.766 0.410
Pd 0.250 0.557 0.126
Pd 0.750 0.266 0.090
Pd 0.250 0.057 0.374
Er 0.250 0.676 0.290
Er 0.750 0.324 0.710
Pd 0.250 0.642 0.679
Pd 0.250 0.959 0.061
Sc 0.750 0.691 0.026
Er 0.250 0.176 0.210
Pd 0.250 0.234 0.590
Pd 0.750 0.041 0.939
Sc 0.750 0.191 0.474
Sc 0.250 0.309 0.974
Pd 0.750 0.541 0.561
Pd 0.750 0.443 0.874

Computed properties:
The formation energy comes out at -0.78 eV per atom. As for the magnetization: 0.00 μB/atom. The symmetry is Pnma (62). The calculation puts the theoretical density at 9587 kg/m3. The crystal system is orthorhombic. The distance to the lowest polymorph of the same formula comes out at 0 kJ/mol of formula units.

DFT (GGA-PBE) results for a relaxed Er3Sc2Pd3 crystal.

Cell lengths 3.440, 4.976, 10.695 Å; angles 103.45, 99.25, 90.00 degrees
Atoms (fractional coordinates):
Pd 0.879 0.879 0.758
Er 0.380 0.380 0.760
Sc 0.730 0.230 0.459
Pd 0.000 0.500 0.000
Er 0.620 0.620 0.240
Sc 0.270 0.770 0.541
Er 0.500 0.000 0.000
Pd 0.121 0.121 0.242

Computed properties:
The formation energy comes out at -0.68 eV per atom. As for the magnetization: 0.00 μB/atom. The symmetry is Immm (71). The calculation puts the theoretical density at 8615 kg/m3. The crystal system is orthorhombic.

DFT (GGA-PBE) results for a relaxed Er3ScPd3 crystal.

Cell lengths 6.797, 6.797, 6.982 Å; angles 91.96, 91.96, 97.03 degrees
Atoms (fractional coordinates):
Er 0.257 0.743 0.000
Pd 0.971 0.506 0.718
Sc 0.259 0.259 0.118
Er 0.652 0.652 0.369
Pd 0.938 0.938 0.188
Er 0.175 0.825 0.500
Er 0.743 0.257 0.000
Sc 0.741 0.741 0.882
Pd 0.494 0.029 0.282
Er 0.825 0.175 0.500
Pd 0.029 0.494 0.282
Er 0.348 0.348 0.631
Pd 0.062 0.062 0.812
Pd 0.506 0.971 0.718

Computed properties:
The formation energy comes out at -0.71 eV per atom. As for the magnetization: 0.00 μB/atom. The symmetry is C2/m (12). The calculation puts the theoretical density at 8996 kg/m3. The crystal system is monoclinic.

DFT (GGA-PBE) results for a relaxed ErScPd crystal.

Cell lengths 4.719, 4.719, 4.719 Å; angles 60.00, 60.00, 60.00 degrees
Atoms (fractional coordinates):
Sc 0.500 0.500 0.500
Pd 0.250 0.250 0.250
Er 0.000 0.000 0.000

Computed properties:
The formation energy comes out at -0.47 eV per atom. As for the magnetization: 0.00 μB/atom. The symmetry is F-43m (216). The calculation puts the theoretical density at 7121 kg/m3. The crystal system is cubic. The distance to the lowest polymorph of the same formula comes out at 49 kJ/mol of formula units.

DFT (GGA-PBE) results for a relaxed Er4ScPd15 crystal.

Cell lengths 4.080, 4.080, 20.465 Å; angles 90.00, 90.00, 90.00 degrees
Atoms (fractional coordinates):
Pd 0.500 0.000 0.298
Pd 0.000 0.500 0.298
Pd 0.000 0.500 0.096
Er 0.000 0.000 0.197
Pd 0.500 0.000 0.096
Pd 0.000 0.500 0.500
Pd 0.500 0.500 0.601
Pd 0.500 0.500 0.803
Pd 0.500 0.500 0.197
Sc 0.000 0.000 0.000
Er 0.000 0.000 0.601
Pd 0.500 0.000 0.702
Pd 0.500 0.000 0.904
Pd 0.500 0.000 0.500
Er 0.000 0.000 0.399
Pd 0.500 0.500 0.000
Pd 0.000 0.500 0.904
Pd 0.500 0.500 0.399
Er 0.000 0.000 0.803
Pd 0.000 0.500 0.702

Computed properties:
The formation energy comes out at -0.89 eV per atom. As for the magnetization: 0.00 μB/atom. The symmetry is P4/mmm (123). The calculation puts the theoretical density at 11260 kg/m3. The crystal system is tetragonal.

DFT (GGA-PBE) results for a relaxed ErScSiPd crystal.

Cell lengths 4.806, 4.806, 4.806 Å; angles 60.00, 60.00, 60.00 degrees
Atoms (fractional coordinates):
Si 0.750 0.750 0.750
Pd 0.250 0.250 0.250
Sc 0.500 0.500 0.500
Er 0.000 0.000 0.000

Computed properties:
As for the magnetization: 0.00 μB/atom. The formation energy (no corrections) comes out at -743 meV/atom. The symmetry is F-43m (216). The calculation puts the theoretical density at 7335 kg/m3. The crystal system is cubic.

DFT (GGA-PBE) results for a relaxed Sm2ErSc2Pd5 crystal.

Cell lengths 3.614, 10.815, 10.815 Å; angles 90.00, 90.00, 90.00 degrees
Atoms (fractional coordinates):
Sc 0.000 0.872 0.372
Sm 0.000 0.174 0.326
Pd 0.500 0.041 0.795
Pd 0.500 0.705 0.459
Pd 0.500 0.500 0.000
Er 0.000 0.000 0.000
Sc 0.000 0.128 0.628
Sc 0.000 0.628 0.872
Pd 0.500 0.795 0.959
Pd 0.500 0.459 0.295
Sm 0.000 0.826 0.674
Sm 0.000 0.326 0.826
Pd 0.500 0.295 0.541
Pd 0.500 0.000 0.500
Er 0.000 0.500 0.500
Pd 0.500 0.205 0.041
Sc 0.000 0.372 0.128
Pd 0.500 0.959 0.205
Pd 0.500 0.541 0.705
Sm 0.000 0.674 0.174

Computed properties:
The formation energy comes out at -0.72 eV per atom. As for the magnetization: 0.00 μB/atom. The symmetry is P4/mbm (127). The calculation puts the theoretical density at 8565 kg/m3. The crystal system is tetragonal.

DFT (GGA-PBE) results for a relaxed SmErScPd crystal.

Cell lengths 5.181, 5.181, 5.181 Å; angles 60.00, 60.00, 60.00 degrees
Atoms (fractional coordinates):
Sm 0.750 0.750 0.750
Er 0.250 0.250 0.250
Pd 0.500 0.500 0.500
Sc 0.000 0.000 0.000

Computed properties:
The formation energy comes out at -0.17 eV per atom. As for the magnetization: 0.00 μB/atom. The symmetry is F-43m (216). The calculation puts the theoretical density at 7920 kg/m3. The crystal system is cubic.